Pm4RuBr5 | PBE | optimized geometry

Unit cell a=4.0979 b=8.9445 c=9.5666 alpha=104.12 beta=102.37 gamma=90.00
Atoms (fractional coordinates):
Pm: 0.3538 0.9187 0.7076
Pm: 0.9991 0.7775 0.9982
Pm: 0.6462 0.0813 0.2924
Pm: 0.0009 0.2225 0.0018
Ru: 0.5000 0.0000 0.0000
Br: 0.8318 0.6656 0.6636
Br: 0.8273 0.1539 0.6547
Br: 0.1727 0.8461 0.3453
Br: 0.5000 0.5000 0.0000
Br: 0.1682 0.3344 0.3364

Calculated values
**M_tot**: 0.1 μB per formula unit
**Formation energy without anion corrections**: -1.373 eV per atom
**Crystal system**: monoclinic


Pm4Ru2Br3 | PBE | optimized geometry

Unit cell a=4.0851 b=4.0851 c=18.6464 alpha=90.04 beta=89.96 gamma=120.00
Atoms (fractional coordinates):
Pm: 0.3338 0.6662 0.8730
Pm: 0.9992 0.0008 0.2965
Pm: 0.0008 0.9992 0.7035
Pm: 0.6662 0.3338 0.1270
Ru: 0.6673 0.3327 0.7933
Ru: 0.3327 0.6673 0.2067
Br: 0.6656 0.3344 0.3999
Br: 0.0000 0.0000 0.0000
Br: 0.3344 0.6656 0.6001

Calculated values
**M_tot**: 0.0 μB per formula unit
**Formation energy without anion corrections**: -0.885 eV per atom
**Crystal system**: monoclinic


Pm3RuBr2 | PBE | optimized geometry

Unit cell a=3.9791 b=5.8661 c=8.2227 alpha=110.90 beta=104.00 gamma=90.00
Atoms (fractional coordinates):
Pm: 0.6263 0.6263 0.2525
Pm: 0.0000 0.0000 0.0000
Pm: 0.3737 0.3737 0.7475
Ru: 0.0000 0.5000 0.0000
Br: 0.3142 0.8142 0.6284
Br: 0.6858 0.1858 0.3716

Calculated values
**M_tot**: 0.0 μB per formula unit
**Formation energy without anion corrections**: -0.915 eV per atom
**Crystal system**: orthorhombic


Pm3RuBr | PBE | optimized geometry

Unit cell a=4.0519 b=7.4791 c=9.5688 alpha=90.00 beta=90.00 gamma=90.00
Atoms (fractional coordinates):
Pm: 0.7500 0.5002 0.1548
Pm: 0.2500 0.4998 0.8452
Pm: 0.7500 0.9998 0.1548
Pm: 0.2500 0.0002 0.8452
Pm: 0.7500 0.2500 0.5914
Pm: 0.2500 0.7500 0.4086
Ru: 0.7500 0.2500 0.8968
Ru: 0.2500 0.7500 0.1032
Br: 0.2500 0.2500 0.3374
Br: 0.7500 0.7500 0.6626

Calculated values
**M_tot**: 0.0 μB per formula unit
**Formation energy without anion corrections**: -0.527 eV per atom
**Energy above the lowest structure with this stoichiometry**: 39 meV per atom
**Crystal system**: orthorhombic


Pm4Ru2Br5 | PBE | optimized geometry

Unit cell a=4.1523 b=8.3040 c=10.6809 alpha=112.88 beta=101.21 gamma=90.00
Atoms (fractional coordinates):
Pm: 0.6859 0.6859 0.3717
Pm: 0.0000 0.2839 0.0000
Pm: 0.3141 0.3141 0.6283
Pm: 0.0000 0.7161 0.0000
Ru: 0.5623 0.5623 0.1246
Ru: 0.4377 0.4377 0.8754
Br: 0.1725 0.4006 0.3449
Br: 0.8275 0.5994 0.6551
Br: 0.1725 0.9443 0.3449
Br: 0.5000 0.0000 0.0000
Br: 0.8275 0.0557 0.6551

Calculated values
**M_tot**: 0.0 μB per formula unit
**Formation energy without anion corrections**: -0.951 eV per atom
**Crystal system**: orthorhombic


Pm3RuBr | PBE | optimized geometry

Unit cell a=3.8494 b=9.6018 c=8.3342 alpha=90.00 beta=90.00 gamma=90.00
Atoms (fractional coordinates):
Pm: 0.2500 0.4263 0.1554
Pm: 0.7500 0.5737 0.8446
Pm: 0.2500 0.0737 0.1554
Pm: 0.7500 0.9263 0.8446
Pm: 0.2500 0.2500 0.7425
Pm: 0.7500 0.7500 0.2575
Ru: 0.7500 0.2500 0.9730
Ru: 0.2500 0.7500 0.0270
Br: 0.7500 0.2500 0.4333
Br: 0.2500 0.7500 0.5667

Calculated values
**M_tot**: 0.0 μB per formula unit
**Formation energy without anion corrections**: -0.566 eV per atom
**Energy above the lowest structure with this stoichiometry**: 0 meV per atom
**Crystal system**: orthorhombic


Pm6Ru2SBr3 | PBE | optimized geometry

Unit cell a=7.1391 b=7.1391 c=8.0145 alpha=98.52 beta=98.52 gamma=119.99
Atoms (fractional coordinates):
Pm: 0.9350 0.5878 0.8028
Pm: 0.7177 0.7177 0.1965
Pm: 0.0650 0.4122 0.1972
Pm: 0.5878 0.9350 0.8028
Pm: 0.2823 0.2823 0.8035
Pm: 0.4122 0.0650 0.1972
Ru: 0.3330 0.6670 0.0000
Ru: 0.6670 0.3330 0.0000
S: 0.0000 0.0000 0.0000
Br: 0.1644 0.8356 0.5000
Br: 0.8356 0.1644 0.5000
Br: 0.5000 0.5000 0.5000

Calculated values
**M_tot**: 0.0 μB per formula unit
**Formation energy without anion corrections**: -1.084 eV per atom
**Crystal system**: monoclinic


Pm8Ru3SBr4 | PBE | optimized geometry

Unit cell a=8.2453 b=9.0476 c=8.2450 alpha=117.11 beta=120.00 gamma=90.00
Atoms (fractional coordinates):
Pm: 0.2379 0.6929 0.9551
Pm: 0.2379 0.6929 0.4757
Pm: 0.2661 0.2985 0.5322
Pm: 0.7172 0.6929 0.9551
Pm: 0.2828 0.3071 0.0449
Pm: 0.7339 0.7015 0.4678
Pm: 0.7621 0.3071 0.5243
Pm: 0.7621 0.3071 0.0449
Ru: 0.5000 0.5000 0.0000
Ru: 0.5000 0.5000 0.5000
Ru: 0.0000 0.5000 0.5000
S: 0.0000 0.5000 0.0000
Br: 0.5000 0.0000 0.0000
Br: 0.5000 0.0000 0.5000
Br: 0.0000 0.0000 0.0000
Br: 0.0000 0.0000 0.5000

Calculated values
**M_tot**: 0.0 μB per formula unit
**Formation energy without anion corrections**: -0.989 eV per atom
**Crystal system**: trigonal